No. 1
Compound: LiTbScMn
Source: Alexandria
Functional: GGA-PBE
Structure: relaxed

Output
space-group type: F-43m, No. 216
raw total energy: -5.3855 eV per atom

The structure in POSCAR format:
```
LiTbScMn
1.0
0.000 3.450 3.450
3.450 0.000 3.450
3.450 3.450 0.000
Li Tb Sc Mn
1 1 1 1
direct
0.000 0.000 0.000
0.750 0.750 0.750
0.250 0.250 0.250
0.500 0.500 0.500
```


No. 2
Compound: InCoPt2
Source: Alexandria
Functional: GGA-PBE
Structure: relaxed

Output
space-group type: R-3m, No. 166
raw total energy: -5.4775 eV per atom

The structure in POSCAR format:
```
InCoPt2
1.0
1.452 0.838 8.784
-1.452 0.838 8.784
0.000 -1.677 8.784
In Co Pt
1 1 2
direct
0.000 0.000 0.000
0.500 0.500 0.500
0.244 0.244 0.244
0.756 0.756 0.756
```